[1]
! CrSi2Tc (GGA-PBE, relaxed); values from VASP
&SYSTEM
  ibrav = 0, nat = 4, ntyp = 3
/
ATOMIC_SPECIES
Cr 52.00 Cr.upf
Si 28.09 Si.upf
Tc 98.00 Tc.upf
CELL_PARAMETERS angstrom
-0.023 -0.585 -2.873
0.346 -2.854 0.578
-5.915 -0.680 0.187
ATOMIC_POSITIONS crystal
Cr 0.500 0.500 0.750
Si 0.000 0.000 0.004
Si 0.000 0.000 0.496
Tc 0.500 0.500 0.250
! * D(E_F): 2.7 states/eV/f.u.
! * formation energy from raw total energies: -0.24 eV/atom
! * crystal system: tetragonal
! * symmetry: P4/mmm, No. 123
! * spin magnetization: 0.45 μB per atom


[2]
! CrSiTc (GGA-PBE, relaxed); values from VASP
&SYSTEM
  ibrav = 0, nat = 3, ntyp = 3
/
ATOMIC_SPECIES
Cr 52.00 Cr.upf
Si 28.09 Si.upf
Tc 98.00 Tc.upf
CELL_PARAMETERS angstrom
4.045 0.000 0.000
-2.023 3.503 0.000
0.000 0.000 2.729
ATOMIC_POSITIONS crystal
Cr 0.000 0.000 0.042
Si 0.667 0.333 0.269
Tc 0.333 0.667 0.689
! * D(E_F): 4.0 states/eV/f.u.
! * formation energy from raw total energies: -0.12 eV/atom
! * crystal system: trigonal
! * symmetry: P3m1, No. 156
! * spin magnetization: 0.00 μB per atom


> Among the records above, which one has the highest formation energy from raw total energies?

CrSiTc


> Which of these has the highest spin magnetization?

CrSi2Tc


> Number 2 is which compound?

CrSiTc


> Among the records above, which one has the highest D(E_F)?

CrSiTc